LiCu2Rh | PBEsol | relaxed

abc: 2.4776 4.0176 4.9609
angles: 90.00 103.71 90.00
With the nearest neighbours (Å) after each atom.
Sites, in units of the cell vectors:
Li 0.0000 0.0000 0.0000  4 Cu 2.45, 2 Li 2.48, 2 Rh 2.48
Cu 0.4143 0.5000 0.2456  2 Li 2.45, 4 Cu 2.46-2.57, 4 Rh 2.62-2.70
Cu 0.5857 0.5000 0.7544  2 Li 2.45, 4 Cu 2.46-2.57, 4 Rh 2.62-2.70
Rh 0.0000 0.0000 0.5000  2 Rh 2.48, 2 Li 2.48, 8 Cu 2.62-2.70

For the formation energy, the calculation gives 0.1 eV per formula unit. The magnetization comes out at 0.03 Bohr magnetons per cell.